A plane-wave DFT calculation with SCAN was carried out for a PBEsol-optimized structure of BeFeP.

Lattice parameters (Å, degrees): 2.8699 2.8787 3.9724 111.24 111.18 90.00
Closest atoms and distances in Å follow each position.
Sites, in units of the cell vectors:
Be  0.0009  0.0009  0.0017  5 P 2.25-2.34, 5 Fe 2.27-2.33
P  0.3301  0.3301  0.6602  5 Be 2.25-2.34, 5 Fe 2.31
Fe  0.6690  0.6690  0.3380  5 Be 2.27-2.33, 5 P 2.31

- Formation energy from the elements: -0.35 eV/atom